LiCdAg2: optimized geometry, PBE-GGA.

Properties
- E_form: -0.1046 eV/atom
- D(E_F): 0.85 states/eV per cell
- E: -2.24 eV per atom

Cell: 9.6497 9.6497 9.6497 Å, 17.74 17.74 17.74°
With the nearest neighbours (Å) after each atom.
Sites, in units of the cell vectors:
1 Ag 0.4938 0.4938 0.4938  3 Li 2.79, 6 Ag 2.98, 3 Cd 3.08
2 Li 0.7500 0.7500 0.7500  6 Ag 2.79, 6 Li 2.98
3 Cd 0.2500 0.2500 0.2500  6 Cd 2.98, 6 Ag 3.08
4 Ag 0.0062 0.0062 0.0062  3 Li 2.79, 6 Ag 2.98, 3 Cd 3.08


Ba2SiPb: optimized geometry, PBE-GGA.

Properties
- D(E_F): 4.56 states/eV per cell
- Formation energy from raw total energies: -0.076 eV per atom
- Polymorph energy (0 for the lowest one): 1.43 eV per formula unit
- E: -3.32 eV per atom

Cell: 4.7189 4.7189 9.8269 Å, 81.56 81.56 47.27°
With the nearest neighbours (Å) after each atom.
Sites, in units of the cell vectors:
1 Si 0.2500 0.2500 0.2500  6 Ba 3.31-3.35
2 Ba 0.5123 0.5123 0.4668  3 Si 3.31-3.35
3 Pb 0.7500 0.7500 0.7500  6 Ba 3.72-3.80, 2 Pb 3.78
4 Ba 0.9877 0.9877 0.0332  3 Si 3.31-3.35


Q: The lowest E belongs to which entry?
A: Ba2SiPb